Here is a relaxed NaPd2Pb crystal from Alexandria. Energies are from PBE.

Summary:
energy of formation: -0.89 eV/f.u.
magnetic moment: 0.0 μB per formula unit
electronic total energy: -4.077 eV/atom
symmetry: I4/mmm, No. 139

Lattice parameters (Å, degrees): 4.456 4.456 4.922 116.91 116.91 90.00
Sites, in units of the cell vectors:
Pb 0.000 0.000 0.000
Na 0.500 0.500 0.000
Pd 0.250 0.750 0.500
Pd 0.750 0.250 0.500